Dy3HoAg | PBE-GGA | relaxed

Cell and atoms, written as POSCAR:
```
Dy3HoAg
1.0
6.581 -0.303 -1.059
-2.091 6.247 1.059
-3.303 -2.173 7.585
Ag Ho Dy
2 2 6
Direct
0.748 0.752 0.500 Ag
0.252 0.248 0.500 Ag
0.681 0.060 0.741 Ho
0.319 0.940 0.259 Ho
0.263 0.087 0.850 Dy
0.763 0.587 0.850 Dy
0.237 0.413 0.150 Dy
0.181 0.559 0.740 Dy
0.819 0.441 0.260 Dy
0.737 0.913 0.150 Dy
```

ΔE_f = -5 meV per atom


MnSb2PbI | PBE-GGA | relaxed

Cell and atoms, written as POSCAR:
```
MnSb2PbI
1.0
-2.612 3.631 2.013
-3.754 -3.081 0.686
2.113 -1.401 5.269
Mn I Sb Pb
1 1 2 1
Direct
0.000 0.000 0.000 Mn
0.000 0.000 0.500 I
0.500 0.000 0.000 Sb
0.000 0.500 0.000 Sb
0.500 0.500 0.500 Pb
```

ΔE_f (raw) = 0.3274 eV/atom


HoAs2Au | PBE-GGA | relaxed

Cell and atoms, written as POSCAR:
```
HoAs2Au
1.0
-2.678 -3.082 3.049
1.112 -4.969 0.212
2.893 -1.751 5.029
As Au Ho
2 1 1
Direct
0.155 0.155 0.536 As
0.845 0.845 0.464 As
0.000 0.000 0.000 Au
0.500 0.500 0.500 Ho
```

ΔE_f = -196 meV per atom


Ho3Ga3Pd2 | PBE-GGA | relaxed

Cell and atoms, written as POSCAR:
```
Ho3Ga3Pd2
1.0
-5.023 1.992 -1.205
-3.204 -7.362 1.188
-2.161 3.263 14.397
Ho Pd Ga
12 8 12
Direct
0.124 0.459 0.389 Ho
0.128 0.186 0.750 Ho
0.872 0.814 0.250 Ho
0.376 0.959 0.389 Ho
0.372 0.686 0.750 Ho
0.628 0.314 0.250 Ho
0.124 0.459 0.111 Ho
0.876 0.541 0.889 Ho
0.876 0.541 0.611 Ho
0.376 0.959 0.111 Ho
0.624 0.041 0.611 Ho
0.624 0.041 0.889 Ho
0.126 0.908 0.892 Pd
0.126 0.908 0.608 Pd
0.626 0.592 0.108 Pd
0.374 0.408 0.892 Pd
0.374 0.408 0.608 Pd
0.626 0.592 0.392 Pd
0.874 0.092 0.392 Pd
0.874 0.092 0.108 Pd
0.390 0.692 0.536 Ga
0.869 0.830 0.750 Ga
0.110 0.192 0.964 Ga
0.131 0.170 0.250 Ga
0.610 0.308 0.036 Ga
0.610 0.308 0.464 Ga
0.390 0.692 0.964 Ga
0.110 0.192 0.536 Ga
0.369 0.670 0.250 Ga
0.890 0.808 0.036 Ga
0.631 0.330 0.750 Ga
0.890 0.808 0.464 Ga
```

ΔE_f = -768 meV per atom


Zn2CdP2 | PBE-GGA | relaxed

Cell and atoms, written as POSCAR:
```
Zn2CdP2
1.0
-0.851 -3.197 -2.332
3.260 0.785 -2.267
4.276 -4.431 1.002
P Zn Cd
2 2 1
Direct
0.250 0.750 0.500 P
0.750 0.250 0.500 P
0.388 0.388 0.224 Zn
0.612 0.612 0.776 Zn
0.000 0.000 0.000 Cd
```

ΔE_f = 249 meV per atom


La2SnAsRh6 | PBE-GGA | relaxed

Cell and atoms, written as POSCAR:
```
La2SnAsRh6
1.0
-1.566 4.270 3.150
-2.389 -5.330 6.037
8.052 0.365 3.509
Rh Sn As La
12 2 2 4
Direct
0.743 0.994 0.000 Rh
0.500 0.078 0.749 Rh
0.757 0.006 0.500 Rh
0.752 0.471 0.500 Rh
0.748 0.529 0.000 Rh
0.257 0.994 0.000 Rh
0.000 0.922 0.249 Rh
0.243 0.006 0.500 Rh
0.248 0.471 0.500 Rh
0.252 0.529 0.000 Rh
0.000 0.922 0.751 Rh
0.500 0.078 0.251 Rh
0.500 0.267 0.000 Sn
0.000 0.733 0.500 Sn
0.500 0.239 0.500 As
0.000 0.761 0.000 As
0.000 0.285 0.253 La
0.000 0.285 0.747 La
0.500 0.715 0.247 La
0.500 0.715 0.753 La
```

ΔE_f = -593 meV per atom


Rh2SeCl | PBE-GGA | relaxed

Cell and atoms, written as POSCAR:
```
Rh2SeCl
1.0
-3.275 0.816 0.631
-1.001 -3.016 -1.299
0.435 -2.525 5.525
Se Cl Rh
1 1 2
Direct
0.000 0.000 0.398 Se
0.500 0.500 0.852 Cl
0.500 0.500 0.249 Rh
0.000 0.000 0.000 Rh
```

ΔE_f (raw) = 0.0374 eV/atom


Mn2TlPbCl8 | PBE-GGA | relaxed

Cell and atoms, written as POSCAR:
```
Mn2TlPbCl8
1.0
-2.463 -5.497 3.026
2.514 -0.428 -6.239
8.678 -1.892 3.627
Mn Pb Cl Tl
2 1 8 1
Direct
0.333 0.667 0.758 Mn
0.667 0.333 0.242 Mn
0.000 0.000 0.500 Pb
0.667 0.333 0.011 Cl
0.667 0.675 0.692 Cl
0.992 0.667 0.308 Cl
0.008 0.333 0.692 Cl
0.333 0.667 0.989 Cl
0.333 0.325 0.308 Cl
0.325 0.992 0.692 Cl
0.675 0.008 0.308 Cl
0.000 0.000 0.000 Tl
```

ΔE_f (raw) = -1.0021 eV/atom